[1]
Entry from the Alexandria database: an optimized crystal structure of Li5Co5O9F (GGA+U).

a b c (Å): 4.9879 5.0380 7.6682
angles (deg): 71.71 71.75 80.33
Element x y z (fractional)
Li 0.0000 0.0000 0.0000
Li 0.1806 0.9861 0.6176
Li 0.3900 0.9860 0.2021
Li 0.5988 0.9976 0.8044
Li 0.8039 0.9829 0.4178
Co 0.0831 0.5020 0.3084
Co 0.2991 0.4943 0.9051
Co 0.4905 0.4959 0.5169
Co 0.7019 0.5039 0.0994
Co 0.8973 0.4940 0.7091
O 0.0430 0.2697 0.1400
O 0.1452 0.7125 0.4763
O 0.2460 0.2799 0.7508
O 0.3615 0.7127 0.0562
O 0.5483 0.7055 0.6678
O 0.6500 0.2805 0.9487
O 0.7100 0.7144 0.2695
O 0.8269 0.2686 0.5644
O 0.9656 0.7218 0.8524
F 0.4484 0.2198 0.3789

Summary:
Space group: P1 (1)
Volume (Å³/cell): 173.2
E (eV/atom): -5.564



[2]
Entry from the Alexandria database: an optimized crystal structure of Li3CoOF3 (GGA+U).

a b c (Å): 5.1347 5.1347 10.2335
angles (deg): 100.11 100.11 33.64
Element x y z (fractional)
Li 0.0003 0.9997 0.0000
Li 0.2501 0.2501 0.8824
Li 0.4980 0.4990 0.7470
Li 0.5010 0.5020 0.2530
Li 0.7499 0.7499 0.1176
Li 0.9983 0.0017 0.5000
Co 0.2456 0.2445 0.3852
Co 0.7555 0.7544 0.6148
O 0.3750 0.3776 0.5654
O 0.6224 0.6250 0.4346
F 0.1256 0.1228 0.1802
F 0.1268 0.1317 0.7013
F 0.3747 0.3747 0.0609
F 0.6253 0.6253 0.9391
F 0.8683 0.8732 0.2987
F 0.8772 0.8744 0.8198

Summary:
Space group: C2 (5)
Volume (Å³/cell): 146.9
E (eV/atom): -5.055



[3]
Entry from the Alexandria database: an optimized crystal structure of LiCoSO4F (GGA+U).

a b c (Å): 5.2325 5.5011 7.3284
angles (deg): 107.55 107.91 97.68
Element x y z (fractional)
Li 0.2286 0.3683 0.2068
Li 0.7714 0.6317 0.7932
Co 0.5000 0.0000 0.0000
Co 0.5000 0.0000 0.5000
S 0.1749 0.3595 0.7529
S 0.8251 0.6405 0.2471
O 0.1031 0.7573 0.4109
O 0.1829 0.6422 0.8589
O 0.2200 0.2268 0.9063
O 0.3967 0.3450 0.6639
O 0.6033 0.6550 0.3361
O 0.7800 0.7732 0.0937
O 0.8171 0.3578 0.1411
O 0.8969 0.2427 0.5891
F 0.3819 0.0915 0.2459
F 0.6181 0.9085 0.7541

Summary:
Space group: P-1 (2)
Volume (Å³/cell): 185.3
E (eV/atom): -5.827



[4]
Entry from the Alexandria database: an optimized crystal structure of Li2CoPbF (GGA+U).

a b c (Å): 4.4799 4.4799 4.8742
angles (deg): 90.00 90.00 90.00
Element x y z (fractional)
Li 0.0000 0.5000 0.0000
Li 0.5000 0.0000 0.0000
Co 0.0000 0.0000 0.0000
Pb 0.0000 0.0000 0.5000
F 0.5000 0.5000 0.5000

Summary:
Space group: P4/mmm (123)
Volume (Å³/cell): 97.8
E (eV/atom): -2.843



[5]
Entry from the Alexandria database: an optimized crystal structure of Li2CoPdF6 (GGA+U).

a b c (Å): 5.2821 5.2853 5.6719
angles (deg): 62.25 62.34 60.03
Element x y z (fractional)
Li 0.0000 0.0000 0.0000
Li 0.4989 0.5011 0.5017
Co 0.2927 0.2948 0.1194
Pd 0.7935 0.7956 0.6172
F 0.0960 0.3692 0.8391
F 0.2178 0.8918 0.3218
F 0.3677 0.6966 0.8376
F 0.5667 0.2205 0.3231
F 0.6946 0.0990 0.8386
F 0.8898 0.5710 0.3210

Summary:
Space group: P1 (1)
Volume (Å³/cell): 115.7
E (eV/atom): -4.661



[6]
Entry from the Alexandria database: an optimized crystal structure of Li2PmCoF8 (GGA+U).

a b c (Å): 4.7297 4.8606 6.7860
angles (deg): 85.41 87.81 85.16
Element x y z (fractional)
Li 0.0403 0.0416 0.2581
Li 0.9597 0.9584 0.7419
Pm 0.5000 0.5000 0.5000
Co 0.5000 0.5000 0.0000
F 0.1716 0.1924 0.5012
F 0.2336 0.2567 0.0265
F 0.3008 0.7198 0.2233
F 0.3049 0.6998 0.7808
F 0.6951 0.3002 0.2192
F 0.6992 0.2802 0.7767
F 0.7664 0.7433 0.9735
F 0.8284 0.8076 0.4988

Summary:
Space group: P-1 (2)
Volume (Å³/cell): 154.9
E (eV/atom): -5.286